Compound: La3InO
Source: Alexandria via LeMat-Bulk
Functional: PBE
Structure: relaxed

Calculated values
* SG: C2/m
* formation energy from raw total energies: -1.161 eV per atom

a b c (Å): 23.2047 7.1394 7.1394
angles (deg): 150.19 147.18 32.82
With the nearest neighbours (Å) after each atom.
Atoms (fractional coordinates):
In  0.7552  0.1138  0.8862  7 La 3.38-3.56, 2 In 3.67
In  0.2448  0.8862  0.1138  7 La 3.38-3.56, 2 In 3.67
O  0.6159  0.0550  0.9450  5 La 2.42-2.54
O  0.3841  0.9450  0.0550  5 La 2.42-2.54
La  0.5123  0.6176  0.3824  3 O 2.42-2.51
La  0.4877  0.3824  0.6176  3 O 2.42-2.51
La  0.9680  0.4085  0.5915  3 In 3.38-3.56, 4 La 3.66-3.67
La  0.0320  0.5915  0.4085  3 In 3.38-3.56, 4 La 3.66-3.67
La  0.7553  0.4033  0.5967  2 O 2.54
La  0.2447  0.5967  0.4033  2 O 2.54

Compound: MnFeCo2H4
Source: Alexandria via LeMat-Bulk
Functional: PBE
Structure: relaxed

Calculated values
* SG: Imma

a b c (Å): 5.2766 5.2766 5.2963
angles (deg): 120.12 120.12 89.85
With the nearest neighbours (Å) after each atom.
Atoms (fractional coordinates):
Mn  0.0000  0.5000  0.0000  6 H 1.87-1.88
Mn  0.0000  0.5000  0.5000  6 H 1.87-1.88
Fe  0.5000  0.5000  0.5000  6 H 1.87
Fe  0.0000  0.0000  0.0000  6 H 1.87
Co  0.5000  0.0000  0.0000  6 H 1.85-1.86
Co  0.5000  0.0000  0.5000  6 H 1.85-1.86
Co  0.0000  0.0000  0.5000  6 H 1.86
Co  0.5000  0.5000  0.0000  6 H 1.86
H  0.2525  0.7514  0.0019  3 Co 1.86, 1 Fe 1.87, 2 Mn 1.88
H  0.7486  0.2476  0.4981  3 Co 1.86, 1 Fe 1.87, 2 Mn 1.88
H  0.2514  0.7524  0.5019  3 Co 1.86, 1 Fe 1.87, 2 Mn 1.88
H  0.7476  0.2486  0.9981  3 Co 1.86, 1 Fe 1.87, 2 Mn 1.87
H  0.7477  0.7522  0.0016  3 Co 1.85-1.86, 2 Fe 1.87, 1 Mn 1.88
H  0.7478  0.7523  0.4984  3 Co 1.85-1.86, 2 Fe 1.87, 1 Mn 1.88
H  0.2522  0.2478  0.5016  3 Co 1.85-1.86, 2 Fe 1.87, 1 Mn 1.88
H  0.2522  0.2478  0.9984  3 Co 1.85-1.86, 2 Fe 1.87, 1 Mn 1.88

Compound: Y2InTe
Source: Alexandria via LeMat-Bulk
Functional: PBE
Structure: relaxed

Calculated values
* relative energy among the computed polymorphs: 0.252 eV/atom
* SG: Imm2
* formation energy from raw total energies: -0.696 eV per atom

a b c (Å): 6.7041 6.7041 6.7041
angles (deg): 145.68 137.38 55.82
With the nearest neighbours (Å) after each atom.
Atoms (fractional coordinates):
In  0.4801  0.4801  0.0000  6 Y 3.18-3.51, 2 Te 3.55
Te  0.2312  0.7312  0.5000  6 Y 3.17
Y  0.0223  0.0223  0.0000  2 Te 3.17, 4 In 3.18
Y  0.7664  0.2664  0.5000  4 Te 3.17, 2 In 3.51

Compound: Ce3SnIr
Source: Alexandria via LeMat-Bulk
Functional: PBE
Structure: relaxed

Calculated values
* ΔE_f: -543.9 meV/atom
* SG: Pnma

a b c (Å): 4.2467 12.1465 11.0383
angles (deg): 90.00 90.00 90.00
With the nearest neighbours (Å) after each atom.
Atoms (fractional coordinates):
Ce  0.2500  0.6187  0.0375  3 Ir 2.85-2.87
Ce  0.7500  0.3813  0.9625  3 Ir 2.85-2.87
Ce  0.2500  0.1187  0.4625  3 Ir 2.85-2.87
Ce  0.7500  0.8813  0.5375  3 Ir 2.85-2.87
Ce  0.2500  0.2737  0.7071  1 Ir 2.86
Ce  0.7500  0.2263  0.2072  1 Ir 2.86
Ce  0.2500  0.7737  0.7929  1 Ir 2.86
Ce  0.7500  0.5414  0.6704  2 Ir 2.83
Ce  0.2500  0.4586  0.3296  2 Ir 2.83
Ce  0.7500  0.0414  0.8296  2 Ir 2.83
Ce  0.7500  0.7263  0.2928  1 Ir 2.86
Ce  0.2500  0.9586  0.1704  2 Ir 2.83
Sn  0.7500  0.8240  0.0069  8 Ce 3.23-3.37
Sn  0.2500  0.6760  0.5069  8 Ce 3.23-3.37
Sn  0.7500  0.3240  0.4931  8 Ce 3.23-3.37
Sn  0.2500  0.1760  0.9931  8 Ce 3.23-3.37
Ir  0.2500  0.9826  0.6727  6 Ce 2.83-2.87
Ir  0.2500  0.4826  0.8273  6 Ce 2.83-2.87
Ir  0.7500  0.5174  0.1727  6 Ce 2.83-2.87
Ir  0.7500  0.0174  0.3273  6 Ce 2.83-2.87

Compound: Cs5Cr2S6
Source: Alexandria via LeMat-Bulk
Functional: PBE
Structure: relaxed

Calculated values
* SG: C2/c
* formation energy from raw total energies: -0.995 eV per atom

a b c (Å): 7.8765 7.8765 17.5459
angles (deg): 79.47 79.47 65.40
With the nearest neighbours (Å) after each atom.
Atoms (fractional coordinates):
Cs  0.6731  0.1916  0.9972  6 S 3.56-3.94
Cs  0.8084  0.3269  0.5028  6 S 3.56-3.94
Cs  0.3269  0.8084  0.0028  6 S 3.56-3.94
Cs  0.1916  0.6731  0.4972  6 S 3.56-3.94
Cs  0.7765  0.9094  0.7184  5 S 3.42-3.47
Cs  0.0906  0.2235  0.7816  5 S 3.42-3.47
Cs  0.2235  0.0906  0.2816  5 S 3.42-3.47
Cs  0.9094  0.7765  0.2184  5 S 3.42-3.47
Cs  0.3999  0.6001  0.7500  4 S 3.55-3.58
Cs  0.6001  0.3999  0.2500  4 S 3.55-3.58
Cr  0.3893  0.0716  0.5652  4 S 2.17-2.24
Cr  0.9284  0.6107  0.9348  4 S 2.17-2.24
Cr  0.6107  0.9284  0.4348  4 S 2.17-2.24
Cr  0.0716  0.3893  0.0652  4 S 2.17-2.24
S  0.1552  0.9987  0.6220  1 Cr 2.17
S  0.0013  0.8448  0.8780  1 Cr 2.17
S  0.8448  0.0013  0.3780  1 Cr 2.17
S  0.9987  0.1552  0.1220  1 Cr 2.17
S  0.4168  0.2704  0.6302  1 Cr 2.20
S  0.7296  0.5832  0.8698  1 Cr 2.20
S  0.5832  0.7296  0.3698  1 Cr 2.20
S  0.2704  0.4168  0.1302  1 Cr 2.20
S  0.6494  0.8058  0.5588  2 Cr 2.23-2.24
S  0.1942  0.3506  0.9412  2 Cr 2.23-2.24
S  0.3506  0.1942  0.4412  2 Cr 2.23-2.24
S  0.8058  0.6494  0.0588  2 Cr 2.23-2.24

Compound: AcTaZn
Source: Alexandria via LeMat-Bulk
Functional: PBE
Structure: relaxed

Calculated values
* ΔE_f: 264.7 meV/atom
* SG: P4/mmm

a b c (Å): 5.1467 3.6409 11.3449
angles (deg): 90.00 90.00 134.97
With the nearest neighbours (Å) after each atom.
Atoms (fractional coordinates):
Zn  0.6944  0.3888  0.0000  8 Ac 3.39, 4 Zn 3.64
Zn  0.1944  0.3888  0.5000  8 Ta 2.85
Ta  0.6944  0.3889  0.3920  1 Ta 2.45
Ta  0.6944  0.3889  0.6080  1 Ta 2.45
Ac  0.1944  0.3889  0.8058  5 Zn 3.39-3.47, 4 Ta 3.41-3.42, 4 Ac 3.64
Ac  0.1944  0.3889  0.1942  5 Zn 3.39-3.47, 4 Ta 3.41-3.42, 4 Ac 3.64

Compound: TeIrBr2
Source: Alexandria via LeMat-Bulk
Functional: PBE
Structure: relaxed

Calculated values
* SG: P4/mmm
* formation energy from raw total energies: 0.729 eV per atom

a b c (Å): 3.2040 3.2024 10.9088
angles (deg): 90.00 90.00 90.00
With the nearest neighbours (Å) after each atom.
Atoms (fractional coordinates):
Ir  0.5000  0.5000  0.2500  8 Br 2.77
Te  0.5000  0.5000  0.7500  4 Te 3.20
Br  0.0000  0.0000  0.1044  4 Ir 2.77
Br  0.0000  0.0000  0.3956  4 Ir 2.77

Compound: Pr2AlPtO6
Source: Alexandria via LeMat-Bulk
Functional: PBE
Structure: relaxed

Calculated values
* SG: Pmmn
* formation energy from raw total energies: -2.315 eV per atom

a b c (Å): 5.3893 5.7116 8.1962
angles (deg): 90.00 90.00 90.00
With the nearest neighbours (Å) after each atom.
Atoms (fractional coordinates):
Pr  0.5000  0.7842  0.2231  7 O 2.42-2.70
Pr  0.0000  0.2158  0.7231  7 O 2.42-2.70
Pr  0.5000  0.7842  0.7769  7 O 2.42-2.70
Pr  0.0000  0.2158  0.2769  7 O 2.42-2.70
Al  0.5000  0.2297  0.5000  6 O 1.85-1.95
Al  0.0000  0.7703  0.0000  6 O 1.85-1.95
Pt  0.0000  0.7151  0.5000  4 O 2.03-2.04
Pt  0.5000  0.2849  0.0000  4 O 2.03-2.04
O  0.5000  0.2019  0.2733  1 Al 1.86
O  0.5000  0.2019  0.7267  1 Al 1.86
O  0.0000  0.7981  0.2267  1 Al 1.86
O  0.0000  0.7981  0.7733  1 Al 1.86
O  0.2455  0.9858  0.5000  1 Al 1.95, 1 Pt 2.04
O  0.7545  0.9858  0.5000  1 Al 1.95, 1 Pt 2.04
O  0.2378  0.4392  0.5000  1 Al 1.85, 1 Pt 2.03
O  0.7622  0.4392  0.5000  1 Al 1.85, 1 Pt 2.03
O  0.7378  0.5608  0.0000  1 Al 1.85, 1 Pt 2.03
O  0.2622  0.5608  0.0000  1 Al 1.85, 1 Pt 2.03
O  0.2545  0.0142  0.0000  1 Al 1.95, 1 Pt 2.04
O  0.7455  0.0142  0.0000  1 Al 1.95, 1 Pt 2.04

Compound: PaBeNi2
Source: Alexandria via LeMat-Bulk
Functional: PBE
Structure: relaxed

Calculated values
* ΔE_f: -344.5 meV/atom
* relative energy among the computed polymorphs: 0.011 eV/atom
* SG: Pmmn

a b c (Å): 3.8601 4.9900 6.0637
angles (deg): 90.00 90.00 90.00
With the nearest neighbours (Å) after each atom.
Atoms (fractional coordinates):
Pa  0.5000  0.8469  0.0000  8 Ni 2.76-2.81, 2 Be 3.08
Pa  0.0000  0.1531  0.5000  8 Ni 2.76-2.81, 2 Be 3.08
Be  0.5000  0.6348  0.5000  6 Ni 2.30-2.31
Be  0.0000  0.3652  0.0000  6 Ni 2.30-2.31
Ni  0.0000  0.6584  0.7051  3 Be 2.30-2.31, 3 Ni 2.49-2.55
Ni  0.5000  0.3416  0.7949  3 Be 2.30-2.31, 3 Ni 2.49-2.55
Ni  0.0000  0.6584  0.2949  3 Be 2.30-2.31, 3 Ni 2.49-2.55
Ni  0.5000  0.3416  0.2051  3 Be 2.30-2.31, 3 Ni 2.49-2.55

Compound: SbIrI3
Source: Alexandria via LeMat-Bulk
Functional: PBE
Structure: relaxed

Calculated values
* relative energy among the computed polymorphs: 0.000 eV/atom
* SG: Pm-3m
* formation energy from raw total energies: 0.494 eV per atom

a b c (Å): 5.3734 5.3734 5.3734
angles (deg): 90.00 90.00 90.00
With the nearest neighbours (Å) after each atom.
Atoms (fractional coordinates):
I  0.0000  0.5000  0.0000  2 Ir 2.69
I  0.0000  0.0000  0.5000  2 Ir 2.69
I  0.5000  0.0000  0.0000  2 Ir 2.69
Sb  0.5000  0.5000  0.5000  12 I 3.80
Ir  0.0000  0.0000  0.0000  6 I 2.69

Compound: Li2ThPt6
Source: Alexandria via LeMat-Bulk
Functional: PBE
Structure: relaxed

Calculated values
* ΔE_f: -626.2 meV/atom
* SG: P-31m

a b c (Å): 4.7286 4.7286 9.0418
angles (deg): 90.00 90.00 120.00
With the nearest neighbours (Å) after each atom.
Atoms (fractional coordinates):
Li  0.3333  0.6667  0.5000  6 Pt 2.69, 3 Li 2.73
Li  0.6667  0.3333  0.5000  6 Pt 2.69, 3 Li 2.73
Th  0.0000  0.0000  0.0000  6 Pt 2.83
Pt  0.6591  0.0000  0.2578  2 Li 2.69, 6 Pt 2.70-2.79, 1 Th 2.83
Pt  0.3409  0.3409  0.2578  2 Li 2.69, 6 Pt 2.70-2.79, 1 Th 2.83
Pt  0.0000  0.6591  0.2578  2 Li 2.69, 6 Pt 2.70-2.79, 1 Th 2.83
Pt  0.6591  0.6591  0.7422  2 Li 2.69, 6 Pt 2.70-2.79, 1 Th 2.83
Pt  0.0000  0.3409  0.7422  2 Li 2.69, 6 Pt 2.70-2.79, 1 Th 2.83
Pt  0.3409  0.0000  0.7422  2 Li 2.69, 6 Pt 2.70-2.79, 1 Th 2.83

Compound: TmLu2Se
Source: Alexandria via LeMat-Bulk
Functional: PBE
Structure: relaxed

Calculated values
* relative energy among the computed polymorphs: 0.000 eV/atom
* SG: P4/mmm
* formation energy from raw total energies: -0.653 eV per atom

a b c (Å): 3.5248 3.5248 8.4043
angles (deg): 90.00 90.00 90.00
With the nearest neighbours (Å) after each atom.
Atoms (fractional coordinates):
Lu  0.0000  0.0000  0.7888  4 Se 3.06
Lu  0.0000  0.0000  0.2112  4 Se 3.06
Tm  0.5000  0.5000  0.5000  8 Lu 3.48, 4 Tm 3.52
Se  0.5000  0.5000  0.0000  8 Lu 3.06

Number 1: E -0.2079 Ha/atom. Number 2: E -0.2082 Ha/atom. Number 3: E -0.1984 Ha/atom. Number 4: E -0.2454 Ha/atom. Number 5: E -0.1730 Ha/atom. Number 6: E -0.2014 Ha/atom. Number 7: E -0.1142 Ha/atom. Number 8: E -0.2655 Ha/atom. Number 9: E -0.2404 Ha/atom. Number 10: E -0.1114 Ha/atom. Number 11: E -0.2169 Ha/atom. Number 12: E -0.1802 Ha/atom.